No. 1
Density functional theory data (GGA-PBE) for a relaxed Sr2PdO crystal.

Results
- Raw total energy: -4.4539 eV/atom
- Total magnetization: 0.0 μB/f.u.
- Energy relative to the elements, uncorrected: -1.08 eV/atom

Lattice parameters (Å, degrees): 3.6503 3.6503 25.4643 90.00 90.00 120.00
Last column: nearest neighbours and their distance in Å.
Space group R-3m (No. 166, hexagonal axes)
Unique sites:
Sr 0.0000 0.0000 0.1077  3 O 2.59, 1 Pd 2.74
Pd 0.0000 0.0000 0.0000  2 Sr 2.74
O 0.0000 0.0000 0.5000  6 Sr 2.59

=====

No. 2
Density functional theory data (GGA-PBE) for a relaxed Pm2Ti2O7 crystal.

Results
- Raw total energy: -8.7366 eV/atom
- Total magnetization: 0.0 μB/f.u.
- Energy relative to the elements, uncorrected: -3.28 eV/atom

Lattice parameters (Å, degrees): 7.1716 9.5890 5.2513 90.00 101.84 90.00
Last column: nearest neighbours and their distance in Å.
Space group C2/m (No. 12)
Unique sites:
Pm 0.0000 0.1932 0.0000  6 O 2.32-2.40
Ti 0.2345 0.5000 0.4075  4 O 1.83-1.85
O 0.0000 0.5000 0.5000  2 Ti 1.84
O 0.0920 0.0000 0.2792  1 Ti 1.85
O 0.2379 0.3420 0.2118  1 Ti 1.83

=====

No. 3
Density functional theory data (GGA-PBE) for a relaxed NdThTc crystal.

Results
- Raw total energy: -7.4221 eV/atom
- Energy of formation from the pure elements: 0.0958 eV/atom
- Total magnetization: 0.0 μB/f.u.
- ΔE to the lowest computed polymorph: 0.255 eV per formula unit

Lattice parameters (Å, degrees): 6.9912 6.9912 6.9912 90.00 90.00 90.00
Last column: nearest neighbours and their distance in Å.
Space group F-43m (No. 216)
Unique sites:
Nd 0.0000 0.0000 0.0000  4 Tc 3.03
Th 0.0000 0.0000 0.5000  4 Tc 3.03
Tc 0.2500 0.2500 0.2500  4 Th 3.03, 4 Nd 3.03

=====

No. 4
Density functional theory data (GGA-PBE) for a relaxed Sr3Mn crystal.

Results
- Raw total energy: -3.1310 eV/atom
- Energy of formation from the pure elements: 0.4227 eV/atom
- Total magnetization: 3.9 μB/f.u.

Lattice parameters (Å, degrees): 4.1787 4.1787 11.6422 90.00 90.00 120.00
Last column: nearest neighbours and their distance in Å.
Space group P-6m2 (No. 187)
Unique sites:
Sr 0.0000 0.0000 0.0000  12 Sr 4.18-4.29
Sr 0.6667 0.3333 0.3048  3 Mn 3.31
Mn 0.0000 0.0000 0.5000  6 Sr 3.31